HfAl3Ga | PBE | optimized geometry

Properties
- Calculated formation energy: 671 meV/atom
- Magnetic moment: 0.00 μB per atom
- VASP energy: -4.17 eV per atom

Geometry as POSCAR:
```
HfAl3Ga
1.0
4.732 0.000 0.000
0.000 4.732 0.000
0.000 0.000 4.732
Al Hf Ga
3 1 1
Cartesian
0.000 2.366 0.000
2.366 0.000 0.000
0.000 0.000 2.366
2.366 2.366 2.366
0.000 0.000 0.000
```

***

Hf5AlGa4 | PBE | optimized geometry

Properties
- Calculated formation energy: -165 meV/atom
- Magnetic moment: 0.00 μB per atom
- VASP energy: -6.73 eV per atom

Geometry as POSCAR:
```
Hf5AlGa4
1.0
-1.590 -5.263 -1.077
4.711 -3.920 -2.371
0.679 -4.210 4.999
Hf Ga Al
5 4 1
Cartesian
-1.116 -3.694 -0.756
0.978 -9.363 1.947
2.970 -3.541 -0.296
0.360 -5.942 0.716
3.587 -6.962 0.935
3.239 -9.736 0.435
0.709 -3.168 1.216
2.238 -6.098 -1.294
1.709 -6.806 2.946
-0.287 -0.951 -0.195
```